No. 1
DyNp6S8, optimized geometry, DFT PBE; uncorrected energy = -137.46 eV/f.u.; ΔE_f (raw) = -1479 meV per atom
1.0
0.0000 5.5257 5.5257
5.5257 0.0000 5.5257
5.5257 5.5257 0.0000
Dy Np S
1 6 8
direct
0.0000 0.0000 0.0000
0.0000 0.0000 0.5000
0.0000 0.5000 0.0000
0.0000 0.5000 0.5000
0.5000 0.0000 0.0000
0.5000 0.0000 0.5000
0.5000 0.5000 0.0000
0.2500 0.2500 0.2500
0.2500 0.2500 0.7500
0.2500 0.7500 0.2500
0.2500 0.7500 0.7500
0.7500 0.2500 0.2500
0.7500 0.2500 0.7500
0.7500 0.7500 0.2500
0.7500 0.7500 0.7500



No. 2
DyNp4S7, optimized geometry, DFT PBE; uncorrected energy = -103.06 eV/f.u.; ΔE_f (raw) = -1484 meV per atom
1.0
6.4636 -1.9305 0.0000
6.4636 1.9305 0.0000
-2.9343 0.0000 11.0870
Dy Np S
1 4 7
direct
0.0000 0.0000 0.0000
0.1152 0.1152 0.4281
0.2311 0.2311 0.8455
0.4149 0.4149 0.6081
0.8135 0.8135 0.2333
0.0711 0.0711 0.6419
0.1552 0.1552 0.2081
0.3802 0.3802 0.0741
0.4587 0.4587 0.3715
0.6188 0.6188 0.9288
0.7709 0.7709 0.4747
0.8512 0.8512 0.7722



No. 3
Dy5Np3S12, optimized geometry, DFT PBE; uncorrected energy = -143.52 eV/f.u.; ΔE_f (raw) = -1608 meV per atom
1.0
-8.0679 8.0679 8.0679
8.0679 -8.0679 8.0679
8.0679 8.0679 -8.0679
Dy Np S
20 12 48
direct
0.0000 0.0000 0.0000
0.0000 0.0000 0.5000
0.0000 0.5000 0.0000
0.0000 0.5000 0.5000
0.1250 0.7500 0.8750
0.1250 0.8750 0.2500
0.2500 0.1250 0.8750
0.2500 0.6250 0.3750
0.3750 0.2500 0.6250
0.3750 0.6250 0.7500
0.5000 0.0000 0.0000
0.5000 0.0000 0.5000
0.5000 0.5000 0.0000
0.5000 0.5000 0.5000
0.6250 0.3750 0.2500
0.6250 0.7500 0.3750
0.7500 0.3750 0.6250
0.7500 0.8750 0.1250
0.8750 0.1250 0.7500
0.8750 0.2500 0.1250
0.1250 0.2500 0.3750
0.1250 0.3750 0.7500
0.2500 0.3750 0.1250
0.2500 0.8750 0.6250
0.3750 0.1250 0.2500
0.3750 0.7500 0.1250
0.6250 0.2500 0.8750
0.6250 0.8750 0.7500
0.7500 0.1250 0.3750
0.7500 0.6250 0.8750
0.8750 0.6250 0.2500
0.8750 0.7500 0.6250
0.0486 0.2228 0.1317
0.0486 0.3258 0.9170
0.0830 0.6317 0.4089
0.0830 0.9514 0.6742
0.0911 0.7228 0.6742
0.0911 0.8683 0.4170
0.1317 0.0486 0.2228
0.1317 0.5830 0.9089
0.1742 0.2228 0.5911
0.1742 0.4514 0.5830
0.2228 0.1317 0.0486
0.2228 0.5911 0.1742
0.2772 0.3258 0.9089
0.2772 0.4514 0.3683
0.3258 0.9089 0.2772
0.3258 0.9170 0.0486
0.3683 0.2772 0.4514
0.3683 0.5911 0.9170
0.4089 0.0830 0.6317
0.4089 0.8258 0.7772
0.4170 0.0911 0.8683
0.4170 0.8258 0.5486
0.4514 0.3683 0.2772
0.4514 0.5830 0.1742
0.5486 0.4170 0.8258
0.5486 0.6317 0.7228
0.5830 0.1742 0.4514
0.5830 0.9089 0.1317
0.5911 0.1742 0.2228
0.5911 0.9170 0.3683
0.6317 0.4089 0.0830
0.6317 0.7228 0.5486
0.6742 0.0830 0.9514
0.6742 0.0911 0.7228
0.7228 0.5486 0.6317
0.7228 0.6742 0.0911
0.7772 0.4089 0.8258
0.7772 0.8683 0.9514
0.8258 0.5486 0.4170
0.8258 0.7772 0.4089
0.8683 0.4170 0.0911
0.8683 0.9514 0.7772
0.9089 0.1317 0.5830
0.9089 0.2772 0.3258
0.9170 0.0486 0.3258
0.9170 0.3683 0.5911
0.9514 0.6742 0.0830
0.9514 0.7772 0.8683



No. 4
Dy2NpS6, optimized geometry, DFT PBE; uncorrected energy = -59.85 eV/f.u.; ΔE_f (raw) = -1437 meV per atom
1.0
6.3010 0.0000 0.0000
0.0000 6.3010 0.0000
0.0000 0.0000 12.0079
Dy Np S
4 2 12
direct
0.0000 0.0000 0.1648
0.0000 0.0000 0.8352
0.5000 0.5000 0.3352
0.5000 0.5000 0.6648
0.0000 0.0000 0.5000
0.5000 0.5000 0.0000
0.1911 0.1911 0.3427
0.1911 0.1911 0.6573
0.2094 0.2094 0.0000
0.2906 0.7094 0.5000
0.3089 0.6911 0.1573
0.3089 0.6911 0.8427
0.6911 0.3089 0.1573
0.6911 0.3089 0.8427
0.7094 0.2906 0.5000
0.7906 0.7906 0.0000
0.8089 0.8089 0.3427
0.8089 0.8089 0.6573



No. 5
DyNp2S6, optimized geometry, DFT PBE; uncorrected energy = -66.86 eV/f.u.; ΔE_f (raw) = -1290 meV per atom
1.0
6.6828 -2.5484 0.0000
6.6828 2.5484 0.0000
-5.3145 0.0000 6.9666
Dy Np S
1 2 6
direct
0.0000 0.0000 0.0000
0.1825 0.1825 0.6071
0.8175 0.8175 0.3929
0.0399 0.0399 0.7234
0.2569 0.2569 0.3766
0.3717 0.3717 0.9502
0.6283 0.6283 0.0498
0.7431 0.7431 0.6234
0.9601 0.9601 0.2766



No. 6
Dy3Np4S8, optimized geometry, DFT PBE; uncorrected energy = -123.14 eV/f.u.; ΔE_f (raw) = -1636 meV per atom
1.0
5.5067 -5.5266 0.0000
5.5067 5.5266 0.0000
-5.5020 0.0000 5.5155
Dy Np S
3 4 8
direct
0.0000 0.0000 0.0000
0.0000 0.5000 0.5000
0.5000 0.0000 0.5000
0.0000 0.5000 0.0000
0.5000 0.0000 0.0000
0.5000 0.5000 0.0000
0.5000 0.5000 0.5000
0.2472 0.2472 0.9963
0.2467 0.7533 0.5000
0.2485 0.7515 0.0000
0.2491 0.2491 0.5005
0.7509 0.7509 0.4995
0.7515 0.2485 0.0000
0.7533 0.2467 0.5000
0.7528 0.7528 0.0037



No. 7
Dy4Np3S8, optimized geometry, DFT PBE; uncorrected energy = -116.83 eV/f.u.; ΔE_f (raw) = -1772 meV per atom
1.0
5.5182 -5.5222 0.0000
5.5182 5.5222 0.0000
-5.5051 0.0000 5.5294
Dy Np S
4 3 8
direct
0.0000 0.0000 0.0000
0.0000 0.0000 0.5000
0.0000 0.5000 0.0000
0.5000 0.0000 0.0000
0.0000 0.5000 0.5000
0.5000 0.0000 0.5000
0.5000 0.5000 0.5000
0.2487 0.2487 0.9966
0.2495 0.2495 0.4991
0.2502 0.7498 0.0000
0.2501 0.7499 0.5000
0.7498 0.2502 0.0000
0.7499 0.2501 0.5000
0.7505 0.7505 0.5009
0.7513 0.7513 0.0034



No. 8
DyNp3S6, optimized geometry, DFT PBE; uncorrected energy = -83.49 eV/f.u.; ΔE_f (raw) = -1530 meV per atom
1.0
10.8620 0.0000 0.0000
0.0000 3.9454 0.0000
-3.5020 0.0000 10.7582
Dy Np S
2 6 12
direct
0.0452 0.2500 0.1904
0.9548 0.7500 0.8096
0.1602 0.2500 0.5815
0.3182 0.7500 0.9978
0.4302 0.2500 0.3318
0.5698 0.7500 0.6682
0.6818 0.2500 0.0022
0.8398 0.7500 0.4185
0.0834 0.7500 0.4013
0.1132 0.2500 0.9621
0.1922 0.7500 0.7484
0.2542 0.7500 0.2223
0.4009 0.2500 0.5627
0.4840 0.2500 0.1161
0.5160 0.7500 0.8839
0.5991 0.7500 0.4373
0.7458 0.2500 0.7777
0.8078 0.2500 0.2516
0.8868 0.7500 0.0379
0.9166 0.2500 0.5987



No. 9
Dy2Np3S8, optimized geometry, DFT PBE; uncorrected energy = -100.71 eV/f.u.; ΔE_f (raw) = -1513 meV per atom
1.0
4.6846 -6.6736 0.0000
4.6846 6.6736 0.0000
0.0000 0.0000 4.7063
Dy Np S
2 3 8
direct
0.2288 0.7712 0.0000
0.7712 0.2288 0.0000
0.2316 0.2316 0.5000
0.5000 0.5000 0.0000
0.7684 0.7684 0.5000
0.1266 0.8734 0.5000
0.1388 0.3841 0.0000
0.3841 0.1388 0.0000
0.3843 0.6157 0.5000
0.6157 0.3843 0.5000
0.6159 0.8612 0.0000
0.8612 0.6159 0.0000
0.8734 0.1266 0.5000



No. 10
Dy2NpScS4, optimized geometry, DFT PBE; uncorrected energy = -59.37 eV/f.u.; ΔE_f (raw) = -1799 meV per atom
1.0
6.6700 0.0000 0.0000
0.0000 3.8517 0.0000
-2.2105 0.0000 6.3178
Dy Np Sc S
2 1 1 4
direct
0.0000 0.0000 0.0000
0.5000 0.5000 0.0000
0.0000 0.5000 0.5000
0.5000 0.0000 0.5000
0.2552 0.0000 0.7454
0.2605 0.5000 0.2596
0.7395 0.5000 0.7404
0.7448 0.0000 0.2546



No. 11
Dy3Np3ScS8, optimized geometry, DFT PBE; uncorrected energy = -118.21 eV/f.u.; ΔE_f (raw) = -1749 meV per atom
1.0
3.8933 2.2478 6.3398
-3.8933 2.2478 6.3398
0.0000 -4.4956 6.3398
Dy Np Sc S
3 3 1 8
direct
0.0000 0.5000 0.5000
0.5000 0.0000 0.5000
0.5000 0.5000 0.0000
0.0000 0.0000 0.5000
0.0000 0.5000 0.0000
0.5000 0.0000 0.0000
0.0000 0.0000 0.0000
0.2425 0.2425 0.7565
0.2425 0.7565 0.2425
0.2435 0.7575 0.7575
0.2501 0.2501 0.2501
0.7499 0.7499 0.7499
0.7565 0.2425 0.2425
0.7575 0.2435 0.7575
0.7575 0.7575 0.2435



No. 12
SmDy2NpS4, optimized geometry, DFT PBE; uncorrected energy = -58.17 eV/f.u.; ΔE_f (raw) = -1849 meV per atom
1.0
6.8172 0.0000 0.0000
0.0000 3.9250 0.0000
-2.2542 0.0000 6.4379
Sm Dy Np S
1 2 1 4
direct
0.0000 0.0000 0.0000
0.0000 0.5000 0.5000
0.5000 0.0000 0.5000
0.5000 0.5000 0.0000
0.2522 0.0000 0.7463
0.2553 0.5000 0.2570
0.7447 0.5000 0.7430
0.7478 0.0000 0.2537



- Look up the ΔE_f (raw) of the tenth one.
  -1799 meV per atom



- What is the formula in the eighth record?
  DyNp3S6



- Look up the ΔE_f (raw) of the second one.
  -1484 meV per atom



- What is the formula in the eighth record?
  DyNp3S6